! IrRhPb (PBE, optimized geometry); values from VASP
&SYSTEM
  ibrav = 0, nat = 6, ntyp = 3
/
ATOMIC_SPECIES
Ir 192.22 Ir.upf
Rh 102.91 Rh.upf
Pb 207.20 Pb.upf
CELL_PARAMETERS angstrom
3.087 0.000 0.000
0.000 3.087 0.000
0.000 0.000 11.256
ATOMIC_POSITIONS crystal
Ir 0.000 0.000 0.000
Ir 0.500 0.500 0.500
Rh 0.000 0.000 0.642
Rh 0.500 0.500 0.142
Pb 0.000 0.000 0.321
Pb 0.500 0.500 0.821
! space-group type = I4mm, No. 107
! energy of formation from the pure elements = 443 meV per atom

***

! IrRhPb (PBE, optimized geometry); values from VASP
&SYSTEM
  ibrav = 0, nat = 3, ntyp = 3
/
ATOMIC_SPECIES
Ir 192.22 Ir.upf
Rh 102.91 Rh.upf
Pb 207.20 Pb.upf
CELL_PARAMETERS angstrom
4.511 0.000 0.000
-2.256 3.907 0.000
0.000 0.000 3.012
ATOMIC_POSITIONS crystal
Ir 0.000 0.000 0.000
Rh 0.333 0.667 0.575
Pb 0.667 0.333 0.285
! space-group type = P3m1, No. 156
! energy of formation from the pure elements = 470 meV per atom

***

! Ir2RhPb (PBE, optimized geometry); values from VASP
&SYSTEM
  ibrav = 0, nat = 4, ntyp = 3
/
ATOMIC_SPECIES
Ir 192.22 Ir.upf
Rh 102.91 Rh.upf
Pb 207.20 Pb.upf
CELL_PARAMETERS angstrom
2.909 0.000 0.000
0.000 4.560 0.000
0.000 0.000 5.025
ATOMIC_POSITIONS crystal
Ir 0.000 0.000 0.000
Ir 0.500 0.500 0.116
Rh 0.500 0.000 0.459
Pb 0.000 0.500 0.623
! space-group type = Pmm2, No. 25
! energy of formation from the pure elements = 339 meV per atom

***

Look up the energy of formation from the pure elements of the second one.
470 meV per atom

***

Among the records above, which one has the lowest energy of formation from the pure elements?
Ir2RhPb